a) Crystalline AcNpHg at its relaxed geometry, computed with PBE.

Magnetization = 5.05 μB/f.u.
Space group = F-43m (216)

```
AcNpHg
1.0
0.000 3.816 3.816
3.816 0.000 3.816
3.816 3.816 0.000
Np Ac Hg
1 1 1
Direct
0.750 0.750 0.750
0.250 0.250 0.250
0.000 0.000 0.000
```

***

b) Crystalline AcNpHg at its relaxed geometry, computed with PBE.

Magnetization = 4.74 μB/f.u.
Space group = F-43m (216)

```
AcNpHg
1.0
0.000 3.734 3.734
3.734 0.000 3.734
3.734 3.734 0.000
Np Ac Hg
1 1 1
Direct
0.750 0.750 0.750
0.000 0.000 0.000
0.250 0.250 0.250
```

***

Energies relative to the most stable structure, in eV/atom: a) 0.000; b) 0.369.